Here is an optimized crystal structure of Ce6SbAs5 from Alexandria. Energies are from PBE. Values from VASP.

Cell and atoms, written as Quantum ESPRESSO input:
```
&SYSTEM
  ibrav = 0, nat = 12, ntyp = 3
/
ATOMIC_SPECIES
Ce 140.12 Ce.upf
Sb 121.76 Sb.upf
As 74.92 As.upf
ATOMIC_POSITIONS crystal
Ce 0.7438 0.0855 0.3441
Ce 0.2562 0.5704 0.3441
Ce 0.2548 0.2590 0.0000
Ce 0.7452 0.7410 0.0000
Ce 0.7438 0.4296 0.6559
Ce 0.2562 0.9145 0.6559
Sb 0.0000 0.0000 0.0000
As 0.5000 0.1629 0.6743
As 0.0000 0.3330 0.3340
As 0.5000 0.5000 0.0000
As 0.0000 0.6670 0.6660
As 0.5000 0.8371 0.3257
CELL_PARAMETERS angstrom
-2.0076 3.7379 6.0475
-7.3294 0.9554 -0.0096
-4.3874 -5.0348 3.1625
```

Computed properties:
Electronic total energy   -79.11 eV for the cell shown
Calculated volume   27.445 Å³/atom
Size of the total moment   4.54 μB per formula unit
ρ   6.74 g/cm3
Crystal system   monoclinic
ΔE_f (raw)   -16.14 eV per formula unit

***

Here is an optimized crystal structure of Ce4Sb3As from Alexandria. Energies are from PBE. Values from VASP.

Cell and atoms, written as Quantum ESPRESSO input:
```
&SYSTEM
  ibrav = 0, nat = 16, ntyp = 3
/
ATOMIC_SPECIES
Sb 121.76 Sb.upf
As 74.92 As.upf
Ce 140.12 Ce.upf
ATOMIC_POSITIONS crystal
Sb 0.7500 0.0000 0.3749
Sb 0.2500 0.0000 0.6251
Sb 0.7500 0.5000 0.6243
Sb 0.7500 0.5000 0.1251
Sb 0.2500 0.5000 0.3757
Sb 0.2500 0.5000 0.8749
As 0.7500 0.0000 0.8760
As 0.2500 0.0000 0.1240
Ce 0.9923 0.2440 0.6326
Ce 0.5012 0.2370 0.8820
Ce 0.4923 0.2440 0.3674
Ce 0.0012 0.2370 0.1180
Ce 0.9988 0.7630 0.8820
Ce 0.5077 0.7560 0.6326
Ce 0.4988 0.7630 0.1180
Ce 0.0077 0.7560 0.3674
CELL_PARAMETERS angstrom
-3.8153 3.6389 5.5601
-1.2868 -7.5595 0.5375
7.0196 -0.8145 5.3500
```

Computed properties:
Electronic total energy   -99.42 eV for the cell shown
Calculated volume   30.767 Å³/atom
Size of the total moment   3.26 μB per formula unit
ρ   6.75 g/cm3
Crystal system   monoclinic
ΔE_f (raw)   -8.96 eV per formula unit

***

Here is an optimized crystal structure of CeSbAs2 from Alexandria. Energies are from PBE. Values from VASP.

Cell and atoms, written as Quantum ESPRESSO input:
```
&SYSTEM
  ibrav = 0, nat = 4, ntyp = 3
/
ATOMIC_SPECIES
Ce 140.12 Ce.upf
Sb 121.76 Sb.upf
As 74.92 As.upf
ATOMIC_POSITIONS crystal
Ce 0.6156 0.0000 0.2312
Sb 0.8422 0.5000 0.6845
As 0.9001 0.0000 0.8002
As 0.1475 0.5000 0.2950
CELL_PARAMETERS angstrom
3.8366 0.0000 0.0000
0.0000 5.2806 0.0000
-1.9183 0.0000 5.3301
```

Computed properties:
Electronic total energy   -21.21 eV for the cell shown
Calculated volume   26.996 Å³/atom
Size of the total moment   0.84 μB per formula unit
ρ   6.33 g/cm3
Crystal system   orthorhombic
ΔE_f (raw)   -1.86 eV per formula unit

***

- Among the records above, which one has the highest calculated volume?
  Ce4Sb3As

***

- Number 3 is which compound?
  CeSbAs2